Compound: PrYH2Br4
Source: OQMD
Functional: PBE
Structure: optimized geometry

Values from the calculation:
crystal system	hexagonal
total DFT energy (no corrections)	-4.598	eV/atom
symmetry	P-6m2, No. 187

Cell and atoms, written as extended XYZ:
```
8
Lattice="3.941 0.000 0.000 -1.970 3.413 0.000 0.000 0.000 14.889" Properties=species:S:1:pos:R:3 pbc="T T T"
Br 1.970 1.138 1.990
Br 0.000 2.275 5.560
Br 0.000 2.275 9.330
Br 1.970 1.138 12.899
H 0.000 2.275 0.000
H 1.970 1.138 7.445
Pr 0.000 0.000 0.000
Y 0.000 0.000 7.445
```

---

Compound: MgBeCoB
Source: OQMD
Functional: PBE
Structure: optimized geometry

Values from the calculation:
crystal system	cubic
polymorph energy (0 for the lowest one)	0.000	eV/atom
symmetry	F-43m, No. 216

Cell and atoms, written as extended XYZ:
```
4
Lattice="0.000 2.687 2.687 2.687 0.000 2.687 2.687 2.687 0.000" Properties=species:S:1:pos:R:3 pbc="T T T"
B 0.000 0.000 0.000
Be 2.687 2.687 2.687
Co 4.031 4.031 4.031
Mg 1.344 1.344 1.344
```

---

Compound: DyYFe2B2C2
Source: OQMD
Functional: PBE
Structure: optimized geometry

Values from the calculation:
crystal system	tetragonal
total DFT energy (no corrections)	-7.798	eV/atom
symmetry	P4mm, No. 99

Cell and atoms, written as extended XYZ:
```
8
Lattice="-1.786 -3.037 -0.183 2.885 -1.758 1.016 -2.168 0.819 7.571" Properties=species:S:1:pos:R:3 pbc="T T T"
B -0.358 0.135 1.252
B -1.260 -1.714 6.735
C -0.766 0.289 2.675
C -0.852 -1.868 5.311
Dy -0.183 -2.121 2.975
Fe -0.894 -1.518 -0.090
Fe 1.442 -0.879 0.509
Y -1.435 0.542 5.013
```

---

Compound: Pr2ErAl7Ag2
Source: OQMD
Functional: PBE
Structure: optimized geometry

Values from the calculation:
crystal system	trigonal
total DFT energy (no corrections)	-4.253	eV/atom
symmetry	R-3m, No. 166

Cell and atoms, written as extended XYZ:
```
12
Lattice="-0.835 6.368 6.959 1.841 1.892 9.095 4.670 5.652 5.994" Properties=species:S:1:pos:R:3 pbc="T T T"
Ag 1.907 4.673 7.406
Ag 3.770 9.239 14.642
Al 0.936 5.256 9.844
Al 1.927 9.023 12.697
Al 3.294 6.735 13.789
Al 2.838 6.956 11.024
Al 2.382 7.177 8.259
Al 3.750 4.890 9.350
Al 4.740 8.657 12.204
Er 0.000 0.000 0.000
Pr 0.804 1.971 3.123
Pr 4.872 11.942 18.925
```

---

Repeat the third record exactly.
Compound: DyYFe2B2C2
Source: OQMD
Functional: PBE
Structure: optimized geometry

Values from the calculation:
crystal system	tetragonal
total DFT energy (no corrections)	-7.798	eV/atom
symmetry	P4mm, No. 99

Cell and atoms, written as extended XYZ:
```
8
Lattice="-1.786 -3.037 -0.183 2.885 -1.758 1.016 -2.168 0.819 7.571" Properties=species:S:1:pos:R:3 pbc="T T T"
B -0.358 0.135 1.252
B -1.260 -1.714 6.735
C -0.766 0.289 2.675
C -0.852 -1.868 5.311
Dy -0.183 -2.121 2.975
Fe -0.894 -1.518 -0.090
Fe 1.442 -0.879 0.509
Y -1.435 0.542 5.013
```